# 1
Entry from Alexandria: an optimized crystal structure of MnNiHg2Os (PBE-GGA).

Cell and atoms, written as POSCAR:
```
MnNiHg2Os
1.0
4.8169 0.0000 0.0000
0.0000 4.8169 0.0000
0.0000 0.0000 4.5330
Mn Ni Hg Os
1 1 2 1
Cartesian
0.0000 0.0000 0.0000 Mn
2.4085 2.4085 2.2665 Ni
0.0000 2.4085 2.2665 Hg
2.4085 0.0000 2.2665 Hg
2.4085 2.4085 0.0000 Os
```

Properties
Energy of formation = 5.98 eV per formula unit
Total magnetization = 4.7 μB per cell



# 2
Entry from Alexandria: an optimized crystal structure of MnNi2HgPb (PBE-GGA).

Cell and atoms, written as POSCAR:
```
MnNi2HgPb
1.0
4.8148 0.0000 0.0000
0.0000 4.8148 0.0000
0.0000 0.0000 4.9708
Mn Ni Hg Pb
1 2 1 1
Cartesian
0.0000 0.0000 0.0000 Mn
0.0000 2.4074 2.4854 Ni
2.4074 0.0000 2.4854 Ni
0.0000 0.0000 2.4854 Hg
2.4074 2.4074 0.0000 Pb
```

Properties
Energy of formation = 5.03 eV per formula unit
Total magnetization = 4.9 μB per cell



| no. | D(E_F) (states/eV/f.u.) | theoretical density (g/cm³) |
| --- | --- | --- |
| 1 | 4.219 | 11.131 |
| 2 | 6.615 | 8.359 |